1.
## TmTiAgS4 (PBE)

Data for TmTiAgS4 after structural relaxation.

Unit cell a=7.336 b=7.586 c=7.804 alpha=120.95 beta=90.00 gamma=118.91
Sites, in units of the cell vectors:
Ti1 0.000 0.500 0.500
S1 0.250 0.500 0.715
S2 0.769 0.047 0.273
S3 0.722 0.953 0.727
S4 0.250 0.500 0.284
Tm1 0.500 0.000 0.000
S5 0.278 0.047 0.273
S6 0.750 0.500 0.285
Tm2 0.500 0.000 0.500
S7 0.750 0.500 0.716
Ag1 0.865 0.730 0.115
Ti2 0.500 0.500 0.500
Ag2 0.135 0.270 0.885
S8 0.231 0.953 0.727

Its total magnetization is 0.0 μB/cell. Its energy relative to the elements, uncorrected is -1.2918 eV/atom. Its space-group type is No. 74.

2.
## Tm3TiAg3S8 (PBE)

Data for Tm3TiAg3S8 after structural relaxation.

Unit cell a=7.709 b=7.710 c=7.807 alpha=119.88 beta=90.00 gamma=120.00
Sites, in units of the cell vectors:
S1 0.765 0.994 0.720
Ag1 0.000 0.500 0.000
S2 0.772 0.006 0.280
Ag2 0.000 0.000 0.000
Ag3 0.500 0.500 0.000
S3 0.772 0.544 0.280
Tm1 0.500 0.500 0.500
Ti1 0.000 0.000 0.500
S4 0.235 0.006 0.280
S5 0.228 0.994 0.720
S6 0.253 0.507 0.262
S7 0.228 0.456 0.720
S8 0.747 0.493 0.738
Tm2 0.500 0.000 0.500
Tm3 0.000 0.500 0.500

Its total magnetization is 0.0 μB/cell. Its energy relative to the elements, uncorrected is -1.2504 eV/atom. Its space-group type is No. 12.